Density functional theory data (GGA-PBE) for crystalline TlRhCl2 at its relaxed geometry.

```
data_TlRhCl2
_chemical_formula_sum 'Tl2 Rh2 Cl4'
_cell_length_a 4.248
_cell_length_b 4.639
_cell_length_c 10.163
_cell_angle_alpha 90.00
_cell_angle_beta 90.00
_cell_angle_gamma 90.00
_space_group_name_H-M_alt 'A m m 2'
_space_group_IT_number 38
loop_
_space_group_symop_operation_xyz
'x,y,z'
'-x,-y,z'
'-x,y,z'
'x,-y,z'
'x,y+1/2,z+1/2'
'-x,-y+1/2,z+1/2'
'-x,y+1/2,z+1/2'
'x,-y+1/2,z+1/2'
loop_
_atom_site_label
_atom_site_fract_x
_atom_site_fract_y
_atom_site_fract_z
_atom_site_occupancy
Tl1 0.000 0.000 0.000 1
Rh1 0.500 0.000 0.842 1
Cl1 0.000 0.000 0.670 1
Cl2 0.500 0.000 0.302 1
```

## Properties
Volume: 25.034 Å³ per atom
D(E_F): 3.838 states/eV per cell
Spin magnetization: 0.00 μB/f.u.
Crystal system: orthorhombic
Total energy: -3.6765 eV/atom